i.
Material: SrVAu2
Method: DFT, GGA-PBE
State: relaxed

Lattice parameters (Å, degrees): 5.0486 5.0486 5.0486 60.00 60.00 60.00
Last column: nearest neighbours and their distance in Å.
Fractional coordinates of all 4 atoms:
Au: 0.7500 0.7500 0.7500  4 Sr 3.09, 4 V 3.09
Au: 0.2500 0.2500 0.2500  4 Sr 3.09, 4 V 3.09
V: 0.0000 0.0000 0.0000  8 Au 3.09
Sr: 0.5000 0.5000 0.5000  8 Au 3.09

## Properties
N(E_F) ... 5.8 states/eV/f.u.
Symmetry ... Fm-3m (225)


ii.
Material: SrVAu2
Method: DFT, GGA-PBE
State: relaxed

Lattice parameters (Å, degrees): 5.1993 5.1993 9.4395 74.01 74.01 90.00
Last column: nearest neighbours and their distance in Å.
Fractional coordinates of all 8 atoms:
Sr: 0.0000 0.0000 0.0000  4 Au 3.23
Sr: 0.7500 0.2500 0.5000  4 Au 3.23
Au: 0.3750 0.5120 0.7500  2 V 2.60, 2 Au 2.85
Au: 0.8750 0.7380 0.7500  2 V 2.60, 2 Au 2.85
Au: 0.4880 0.1250 0.2500  2 V 2.60, 2 Au 2.85
Au: 0.2620 0.6250 0.2500  2 V 2.60, 2 Au 2.85
V: 0.2500 0.7500 0.5000  4 Au 2.60
V: 0.5000 0.5000 0.0000  4 Au 2.60

## Properties
N(E_F) ... 4.9 states/eV/f.u.
Symmetry ... I-42d (122)


Which structure loses on stability? ii does.